# 1
SiTe2N2: optimized geometry, GGA-PBEsol.

Values from the calculation:
Uncorrected energy: -4.537 eV per atom
V: 97.8 Å³ per cell
E_form (uncorrected): 1433 meV per atom
Total magnetization: 0.00 μB per cell

Lattice parameters (Å, degrees): 3.9940 3.9940 6.1310 90.00 90.00 90.00
With the nearest neighbours (Å) after each atom.
Positions (direct):
Si 0.0000 0.0000 0.0000  4 Te 2.82
Te 0.5000 0.5000 0.0000  4 Si 2.82, 2 Te 3.07
Te 0.5000 0.5000 0.5000  4 N 2.00
N 0.0000 0.5000 0.5000  2 Te 2.00
N 0.5000 0.0000 0.5000  2 Te 2.00

=====

# 2
SiTe2N: optimized geometry, GGA-PBEsol.

Values from the calculation:
Uncorrected energy: -4.515 eV per atom
V: 168.3 Å³ per cell
E_form (uncorrected): 817 meV per atom
Total magnetization: 0.00 μB per cell

Lattice parameters (Å, degrees): 6.0712 6.0712 6.0712 114.82 114.82 99.23
With the nearest neighbours (Å) after each atom.
Positions (direct):
Si 0.0000 0.0000 0.0000  4 Te 2.75
Si 0.7500 0.2500 0.5000  4 Te 2.75
Te 0.1779 0.6250 0.0529  2 N 2.30
Te 0.3750 0.4279 0.5529  2 N 2.30
Te 0.5721 0.1250 0.9471  2 N 2.30
Te 0.8750 0.8221 0.4471  2 N 2.30
N 0.2500 0.7500 0.5000  4 Te 2.30
N 0.5000 0.5000 0.0000  4 Te 2.30